# DyTe2Cl2 | OQMD via LeMat-Bulk | PBE-GGA | optimized geometry
# * energy: -4.320 eV per atom
# * crystal system: monoclinic
data_DyTe2Cl2
_symmetry_space_group_name_H-M 'P 1'
_symmetry_Int_Tables_number 1
_symmetry_space_group_name_Hall 'P 1'
_cell_length_a 7.9815
_cell_length_b 7.9815
_cell_length_c 7.1541
_cell_angle_alpha 96.52
_cell_angle_beta 96.52
_cell_angle_gamma 127.72
loop_
_atom_site_label
_atom_site_type_symbol
_atom_site_fract_x
_atom_site_fract_y
_atom_site_fract_z
Dy1 Dy 0.1747 0.8253 0.0000
Dy2 Dy 0.8253 0.1747 0.0000
Te1 Te 0.0961 0.0961 0.3437
Te2 Te 0.2624 0.2624 0.9379
Te3 Te 0.7376 0.7376 0.0621
Te4 Te 0.9039 0.9039 0.6563
Cl1 Cl 0.0908 0.5710 0.2435
Cl2 Cl 0.4290 0.9092 0.7565
Cl3 Cl 0.5710 0.0908 0.2435
Cl4 Cl 0.9092 0.4290 0.7565


# Lu2NbGe | OQMD via LeMat-Bulk | PBE-GGA | optimized geometry
# * energy: -5.875 eV per atom
# * crystal system: cubic
data_Lu2NbGe
_symmetry_space_group_name_H-M 'P 1'
_symmetry_Int_Tables_number 1
_symmetry_space_group_name_Hall 'P 1'
_cell_length_a 4.8894
_cell_length_b 4.8894
_cell_length_c 4.8894
_cell_angle_alpha 60.00
_cell_angle_beta 60.00
_cell_angle_gamma 60.00
loop_
_atom_site_label
_atom_site_type_symbol
_atom_site_fract_x
_atom_site_fract_y
_atom_site_fract_z
Lu1 Lu 0.0000 0.0000 0.0000
Lu2 Lu 0.2500 0.2500 0.2500
Nb1 Nb 0.7500 0.7500 0.7500
Ge1 Ge 0.5000 0.5000 0.5000


Copy entry 2 word for word.
# Lu2NbGe | OQMD via LeMat-Bulk | PBE-GGA | optimized geometry
# * energy: -5.875 eV per atom
# * crystal system: cubic
data_Lu2NbGe
_symmetry_space_group_name_H-M 'P 1'
_symmetry_Int_Tables_number 1
_symmetry_space_group_name_Hall 'P 1'
_cell_length_a 4.8894
_cell_length_b 4.8894
_cell_length_c 4.8894
_cell_angle_alpha 60.00
_cell_angle_beta 60.00
_cell_angle_gamma 60.00
loop_
_atom_site_label
_atom_site_type_symbol
_atom_site_fract_x
_atom_site_fract_y
_atom_site_fract_z
Lu1 Lu 0.0000 0.0000 0.0000
Lu2 Lu 0.2500 0.2500 0.2500
Nb1 Nb 0.7500 0.7500 0.7500
Ge1 Ge 0.5000 0.5000 0.5000


Q: What is the energy in the first record?
A: -4.320 eV per atom


Repeat the first record exactly.
# DyTe2Cl2 | OQMD via LeMat-Bulk | PBE-GGA | optimized geometry
# * energy: -4.320 eV per atom
# * crystal system: monoclinic
data_DyTe2Cl2
_symmetry_space_group_name_H-M 'P 1'
_symmetry_Int_Tables_number 1
_symmetry_space_group_name_Hall 'P 1'
_cell_length_a 7.9815
_cell_length_b 7.9815
_cell_length_c 7.1541
_cell_angle_alpha 96.52
_cell_angle_beta 96.52
_cell_angle_gamma 127.72
loop_
_atom_site_label
_atom_site_type_symbol
_atom_site_fract_x
_atom_site_fract_y
_atom_site_fract_z
Dy1 Dy 0.1747 0.8253 0.0000
Dy2 Dy 0.8253 0.1747 0.0000
Te1 Te 0.0961 0.0961 0.3437
Te2 Te 0.2624 0.2624 0.9379
Te3 Te 0.7376 0.7376 0.0621
Te4 Te 0.9039 0.9039 0.6563
Cl1 Cl 0.0908 0.5710 0.2435
Cl2 Cl 0.4290 0.9092 0.7565
Cl3 Cl 0.5710 0.0908 0.2435
Cl4 Cl 0.9092 0.4290 0.7565